[1]
Entry from Alexandria via LeMat-Bulk: an optimized crystal structure of Ac2HoPu (GGA-PBE).

a b c (Å): 3.7789 3.7789 10.3166
angles (deg): 90.00 90.00 90.00
Atoms (fractional coordinates):
Ac 0.0000 0.0000 0.2491
Ac 0.0000 0.0000 0.7509
Ho 0.5000 0.5000 0.5000
Pu 0.5000 0.5000 0.0000

Calculated values
spin magnetization: 6.14 Bohr magnetons per cell
space group: No. 123
DFT total energy: -6.617 eV per atom
DOS at the Fermi energy: 2.364 states/eV/atom
distance to the lowest polymorph of the same formula: 0.000 eV/atom



[2]
Entry from Alexandria via LeMat-Bulk: an optimized crystal structure of AcHoPu (GGA-PBE).

a b c (Å): 13.4458 3.5607 9.9006
angles (deg): 90.00 116.86 90.00
Atoms (fractional coordinates):
Ac 0.1187 0.0000 0.3373
Ac 0.3813 0.5000 0.6627
Ac 0.6187 0.5000 0.3373
Ac 0.8813 0.0000 0.6627
Ho 0.1227 0.5000 0.6780
Ho 0.3773 0.0000 0.3220
Ho 0.6227 0.0000 0.6780
Ho 0.8773 0.5000 0.3220
Pu 0.1349 0.0000 0.9915
Pu 0.3651 0.5000 0.0085
Pu 0.6349 0.5000 0.9915
Pu 0.8651 0.0000 0.0085

Calculated values
spin magnetization: 25.53 Bohr magnetons per cell
space group: No. 12
DFT total energy: -7.345 eV per atom
DOS at the Fermi energy: 3.184 states/eV/atom
distance to the lowest polymorph of the same formula: 0.146 eV/atom



[3]
Entry from Alexandria via LeMat-Bulk: an optimized crystal structure of AcHoPu (GGA-PBE).

a b c (Å): 3.6969 3.6969 15.0410
angles (deg): 90.00 90.00 90.00
Atoms (fractional coordinates):
Ac 0.0000 0.0000 0.0000
Ac 0.5000 0.5000 0.5000
Ho 0.0000 0.0000 0.6765
Ho 0.5000 0.5000 0.1765
Pu 0.0000 0.0000 0.3277
Pu 0.5000 0.5000 0.8277

Calculated values
spin magnetization: 12.51 Bohr magnetons per cell
space group: No. 107
DFT total energy: -7.492 eV per atom
DOS at the Fermi energy: 2.582 states/eV/atom
distance to the lowest polymorph of the same formula: 0.000 eV/atom



[4]
Entry from Alexandria via LeMat-Bulk: an optimized crystal structure of AcHo2Pu (GGA-PBE).

a b c (Å): 3.6560 3.6560 9.9714
angles (deg): 90.00 90.00 90.00
Atoms (fractional coordinates):
Ac 0.0000 0.0000 0.0000
Ho 0.5000 0.5000 0.2721
Ho 0.5000 0.5000 0.7279
Pu 0.0000 0.0000 0.5000

Calculated values
spin magnetization: 6.55 Bohr magnetons per cell
space group: No. 123
DFT total energy: -6.753 eV per atom
DOS at the Fermi energy: 2.713 states/eV/atom
distance to the lowest polymorph of the same formula: 0.000 eV/atom